A geometry-optimized Sr2TlZn2 structure, computed with GGA-PBEsol.

## Properties
- VASP energy (eV/atom) = -1.98

a = 6.0921 Å, b = 6.0921 Å, c = 8.0109 Å
α = 90.00°, β = 90.00°, γ = 90.00°
Space group I4/mmm (No. 139)
Inequivalent atoms, fractional coordinates:
Sr  0.0000  0.5000  0.2500
Tl  0.0000  0.0000  0.0000
Zn  0.0000  0.0000  0.3538